Run one
Ba4TlPt: relaxed, PBE.

POSCAR file:
```
Ba4TlPt
1.0
4.525 0.000 0.883
1.796 6.940 2.833
0.315 2.023 10.418
Ba Pt Tl
4 1 1
Cartesian
0.918 1.814 7.328 Ba
2.644 4.153 10.520 Ba
5.717 7.150 6.806 Ba
3.992 4.810 3.615 Ba
0.000 0.000 0.000 Pt
3.318 4.482 7.067 Tl
```

***

Run two
Ba4TlPt: relaxed, PBE.

POSCAR file:
```
Ba4TlPt
1.0
7.949 -0.237 0.000
-1.593 8.471 0.000
-3.178 -4.117 8.601
Pt Ba Tl
2 8 2
Cartesian
-2.783 4.295 7.337 Pt
5.962 -0.178 1.265 Pt
-0.970 5.429 5.034 Ba
-0.520 2.152 8.006 Ba
4.148 -1.312 3.567 Ba
3.352 2.924 5.034 Ba
4.495 -2.270 8.006 Ba
-1.317 6.387 0.595 Ba
-0.174 1.193 3.567 Ba
3.698 1.965 0.595 Ba
1.987 -0.059 6.381 Tl
1.191 4.176 2.220 Tl
```

***

Run three
Ba4TlPt: relaxed, PBE.

POSCAR file:
```
Ba4TlPt
1.0
-0.400 -1.934 6.710
-1.982 4.623 4.860
-6.242 -0.634 3.090
Ba Tl Pt
4 1 1
Cartesian
-6.343 0.457 7.044 Ba
-3.440 -0.188 8.843 Ba
-4.226 3.070 7.924 Ba
-3.241 0.772 5.509 Ba
0.000 0.000 0.000 Tl
-6.468 1.542 10.995 Pt
```

***

Which structure above is the least stable? It is run three.